Entry 1:
## Nd3DyB2N6 (PBE)

Data for an optimized crystal structure of Nd3DyB2N6.

Calculated values
**Uncorrected formation energy**: -1160 meV/atom
**Total energy**: -8.01 eV per atom
**Total magnetization**: 0.000 μB/cell

abc: 5.629 5.629 6.346
angles: 90.00 90.00 120.00
Positions (direct):
Nd  0.000  0.000  0.000
Nd  0.333  0.667  0.661
Nd  0.667  0.333  0.339
Dy  0.000  0.000  0.500
B  0.333  0.667  0.248
B  0.667  0.333  0.752
N  0.185  0.370  0.274
N  0.185  0.815  0.274
N  0.370  0.185  0.726
N  0.630  0.815  0.274
N  0.815  0.185  0.726
N  0.815  0.630  0.726


Entry 2:
## Pm3DyB2N6 (PBE)

Data for an optimized crystal structure of Pm3DyB2N6.

Calculated values
**Uncorrected formation energy**: -1168 meV/atom
**Total energy**: -8.01 eV per atom
**Total magnetization**: 0.000 μB/cell

abc: 5.610 5.610 6.294
angles: 90.00 90.00 120.00
Positions (direct):
Pm  0.000  0.000  0.000
Pm  0.333  0.667  0.661
Pm  0.667  0.333  0.339
Dy  0.000  0.000  0.500
B  0.333  0.667  0.246
B  0.667  0.333  0.754
N  0.185  0.369  0.272
N  0.185  0.815  0.272
N  0.369  0.185  0.728
N  0.631  0.815  0.272
N  0.815  0.185  0.728
N  0.815  0.631  0.728


Entry 3:
## Pr3DyB2N6 (PBE)

Data for an optimized crystal structure of Pr3DyB2N6.

Calculated values
**Uncorrected formation energy**: -1155 meV/atom
**Total energy**: -8.01 eV per atom
**Total magnetization**: 0.000 μB/cell

abc: 5.648 5.648 6.397
angles: 90.00 90.00 120.00
Positions (direct):
Pr  0.000  0.000  0.000
Pr  0.333  0.667  0.662
Pr  0.667  0.333  0.338
Dy  0.000  0.000  0.500
B  0.333  0.667  0.250
B  0.667  0.333  0.750
N  0.185  0.370  0.275
N  0.185  0.815  0.275
N  0.370  0.185  0.725
N  0.630  0.815  0.275
N  0.815  0.185  0.725
N  0.815  0.630  0.725


Entry 4:
## Sm3DyB2N6 (PBE)

Data for an optimized crystal structure of Sm3DyB2N6.

Calculated values
**Uncorrected formation energy**: -1165 meV/atom
**Total energy**: -8.00 eV per atom
**Total magnetization**: 0.000 μB/cell

abc: 5.597 5.597 6.260
angles: 90.00 90.00 120.00
Positions (direct):
Sm  0.000  0.000  0.000
Sm  0.333  0.667  0.661
Sm  0.667  0.333  0.339
Dy  0.000  0.000  0.500
B  0.333  0.667  0.245
B  0.667  0.333  0.755
N  0.184  0.369  0.271
N  0.184  0.816  0.271
N  0.369  0.184  0.729
N  0.631  0.816  0.271
N  0.816  0.184  0.729
N  0.816  0.631  0.729


Entry 5:
## NaDyB12 (PBE)

Data for an optimized crystal structure of NaDyB12.

Calculated values
**Total energy**: -6.43 eV per atom
**Total magnetization**: 0.000 μB/cell
**ΔE_f**: -0.285 eV per atom

abc: 4.128 4.128 8.263
angles: 90.00 90.00 90.00
Positions (direct):
Na  0.000  0.000  0.000
Dy  0.000  0.000  0.500
B  0.201  0.500  0.253
B  0.201  0.500  0.747
B  0.500  0.201  0.253
B  0.500  0.201  0.747
B  0.500  0.500  0.102
B  0.500  0.500  0.401
B  0.500  0.500  0.599
B  0.500  0.500  0.898
B  0.500  0.799  0.253
B  0.500  0.799  0.747
B  0.799  0.500  0.253
B  0.799  0.500  0.747


Entry 6:
## Na2DyB2O6 (PBE)

Data for an optimized crystal structure of Na2DyB2O6.

Calculated values
**Uncorrected formation energy**: -2378 meV/atom
**Total energy**: -6.95 eV per atom
**Total magnetization**: 1.013 μB/cell

abc: 5.331 5.331 6.179
angles: 90.00 90.00 120.00
Positions (direct):
Na  0.333  0.667  0.343
Na  0.667  0.333  0.657
Dy  0.000  0.000  0.000
B  0.333  0.667  0.791
B  0.667  0.333  0.209
O  0.104  0.387  0.785
O  0.283  0.896  0.785
O  0.387  0.283  0.215
O  0.613  0.717  0.785
O  0.717  0.104  0.215
O  0.896  0.613  0.215


Entry 7:
## Na2DyBO4 (PBE)

Data for an optimized crystal structure of Na2DyBO4.

Calculated values
**Uncorrected formation energy**: -1908 meV/atom
**Total energy**: -6.13 eV per atom
**Total magnetization**: 0.000 μB/cell

abc: 12.898 11.993 5.957
angles: 84.80 67.82 27.38
Positions (direct):
Na  0.082  0.082  0.668
Na  0.332  0.332  0.918
Na  0.668  0.668  0.082
Na  0.918  0.918  0.332
Dy  0.125  0.125  0.125
Dy  0.875  0.875  0.875
B  0.375  0.375  0.375
B  0.625  0.625  0.625
O  0.082  0.597  0.490
O  0.331  0.490  0.597
O  0.403  0.918  0.669
O  0.490  0.331  0.082
O  0.510  0.669  0.918
O  0.597  0.082  0.331
O  0.669  0.510  0.403
O  0.918  0.403  0.510


Entry 8:
## Na2Dy2B2TeO10 (PBE)

Data for an optimized crystal structure of Na2Dy2B2TeO10.

Calculated values
**Uncorrected formation energy**: -2444 meV/atom
**Total energy**: -7.03 eV per atom
**Total magnetization**: 0.000 μB/cell

abc: 6.360 10.053 6.804
angles: 90.00 103.66 90.00
Positions (direct):
Na  0.088  0.112  0.169
Na  0.088  0.388  0.669
Na  0.912  0.612  0.331
Na  0.912  0.888  0.831
Dy  0.374  0.666  0.977
Dy  0.374  0.834  0.477
Dy  0.626  0.166  0.523
Dy  0.626  0.334  0.023
B  0.163  0.099  0.631
B  0.163  0.401  0.131
B  0.837  0.599  0.869
B  0.837  0.901  0.369
Te  0.500  0.000  0.000
Te  0.500  0.500  0.500
O  0.019  0.672  0.939
O  0.019  0.828  0.439
O  0.208  0.060  0.839
O  0.208  0.440  0.339
O  0.300  0.061  0.512
O  0.300  0.439  0.012
O  0.341  0.617  0.637
O  0.341  0.883  0.137
O  0.492  0.150  0.178
O  0.492  0.350  0.678
O  0.508  0.650  0.322
O  0.508  0.850  0.822
O  0.659  0.117  0.863
O  0.659  0.383  0.363
O  0.700  0.561  0.988
O  0.700  0.939  0.488
O  0.792  0.560  0.661
O  0.792  0.940  0.161
O  0.981  0.172  0.561
O  0.981  0.328  0.061


Entry 9:
## Na2DyBS4 (PBE)

Data for an optimized crystal structure of Na2DyBS4.

Calculated values
**Uncorrected formation energy**: -1057 meV/atom
**Total energy**: -4.86 eV per atom
**Total magnetization**: 0.000 μB/cell

abc: 8.086 8.086 7.832
angles: 114.67 114.67 99.50
Positions (direct):
Na  0.000  0.000  0.000
Na  0.000  0.000  0.500
Na  0.000  0.500  0.000
Na  0.500  0.000  0.500
Dy  0.500  0.500  0.000
Dy  0.500  0.500  0.500
B  0.000  0.500  0.500
B  0.500  0.000  0.000
S  0.149  0.629  0.458
S  0.241  0.305  0.043
S  0.305  0.241  0.543
S  0.371  0.851  0.042
S  0.629  0.149  0.958
S  0.695  0.759  0.457
S  0.759  0.695  0.957
S  0.851  0.371  0.542


Entry 10:
## DyNb2B6 (PBE)

Data for an optimized crystal structure of DyNb2B6.

Calculated values
**Total energy**: -7.90 eV per atom
**Total magnetization**: 0.000 μB/cell
**ΔE_f**: -0.701 eV per atom

abc: 5.472 5.472 3.502
angles: 90.00 90.00 120.00
Positions (direct):
Dy  0.000  0.000  0.000
Nb  0.333  0.667  0.000
Nb  0.667  0.333  0.000
B  0.000  0.339  0.500
B  0.000  0.661  0.500
B  0.339  0.000  0.500
B  0.339  0.339  0.500
B  0.661  0.000  0.500
B  0.661  0.661  0.500


Entry 11:
## DyNbB (PBE)

Data for an optimized crystal structure of DyNbB.

Calculated values
**Total energy**: -7.26 eV per atom
**Total magnetization**: 0.000 μB/cell
**ΔE_f**: -0.143 eV per atom

abc: 10.609 10.609 10.609
angles: 19.52 19.52 19.52
Positions (direct):
Dy  0.112  0.112  0.112
Dy  0.888  0.888  0.888
Nb  0.364  0.364  0.364
Nb  0.636  0.636  0.636
B  0.272  0.272  0.272
B  0.728  0.728  0.728


Entry 12:
## Nd2DyB9 (PBE)

Data for an optimized crystal structure of Nd2DyB9.

Calculated values
**Total energy**: -6.29 eV per atom
**Total magnetization**: 0.000 μB/cell
**ΔE_f**: -0.105 eV per atom

abc: 9.981 9.981 9.981
angles: 25.88 25.88 25.88
Positions (direct):
Nd  0.116  0.116  0.116
Nd  0.884  0.884  0.884
Dy  0.000  0.000  0.000
B  0.032  0.396  0.396
B  0.396  0.032  0.396
B  0.396  0.396  0.032
B  0.397  0.397  0.397
B  0.500  0.500  0.500
B  0.603  0.603  0.603
B  0.604  0.604  0.968
B  0.604  0.968  0.604
B  0.968  0.604  0.604


Entry 13:
## NdDyB (PBE)

Data for an optimized crystal structure of NdDyB.

Calculated values
**Total energy**: -5.18 eV per atom
**Total magnetization**: 0.000 μB/cell
**ΔE_f**: 0.174 eV per atom

abc: 10.287 8.850 6.493
angles: 82.67 58.57 38.76
Positions (direct):
Nd  0.055  0.776  0.224
Nd  0.224  0.945  0.055
Nd  0.776  0.055  0.945
Nd  0.945  0.224  0.776
Dy  0.180  0.441  0.559
Dy  0.441  0.180  0.820
Dy  0.559  0.820  0.180
Dy  0.820  0.559  0.441
B  0.369  0.631  0.369
B  0.449  0.449  0.551
B  0.551  0.551  0.449
B  0.631  0.369  0.631


Entry 14:
## DyNi6B (PBE)

Data for an optimized crystal structure of DyNi6B.

Calculated values
**Total energy**: -5.90 eV per atom
**Total magnetization**: 0.694 μB/cell
**ΔE_f**: -0.159 eV per atom

abc: 3.556 3.556 7.949
angles: 90.00 90.00 90.00
Positions (direct):
Dy  0.000  0.000  0.000
Ni  0.000  0.500  0.352
Ni  0.000  0.500  0.648
Ni  0.500  0.000  0.352
Ni  0.500  0.000  0.648
Ni  0.500  0.500  0.149
Ni  0.500  0.500  0.851
B  0.000  0.000  0.500


Entry 15:
## DyNi2B2 (PBE)

Data for an optimized crystal structure of DyNi2B2.

Calculated values
**Total energy**: -6.33 eV per atom
**Total magnetization**: 0.000 μB/cell
**ΔE_f**: -0.424 eV per atom

abc: 9.352 9.352 9.352
angles: 159.12 156.88 31.35
Positions (direct):
Dy  0.420  0.170  0.250
Dy  0.580  0.830  0.750
Ni  0.198  0.948  0.250
Ni  0.299  0.549  0.750
Ni  0.701  0.451  0.250
Ni  0.802  0.052  0.750
B  0.027  0.277  0.750
B  0.131  0.381  0.750
B  0.869  0.619  0.250
B  0.973  0.723  0.250


Entry 16:
## DyNi8B4 (PBE)

Data for an optimized crystal structure of DyNi8B4.

Calculated values
**Total energy**: -6.14 eV per atom
**Total magnetization**: 0.000 μB/cell
**ΔE_f**: -0.174 eV per atom

abc: 5.828 5.828 5.828
angles: 98.45 98.45 134.92
Positions (direct):
Dy  0.000  0.000  0.000
Ni  0.000  0.342  0.342
Ni  0.000  0.658  0.658
Ni  0.273  0.500  0.773
Ni  0.342  0.000  0.342
Ni  0.500  0.273  0.773
Ni  0.500  0.727  0.227
Ni  0.658  0.000  0.658
Ni  0.727  0.500  0.227
B  0.000  0.000  0.500
B  0.000  0.500  0.000
B  0.500  0.000  0.000
B  0.500  0.500  0.500


Entry 17:
## DyNi2B2 (PBE)

Data for an optimized crystal structure of DyNi2B2.

Calculated values
**Total energy**: -6.47 eV per atom
**Total magnetization**: 0.000 μB/cell
**ΔE_f**: -0.561 eV per atom

abc: 4.964 4.964 6.852
angles: 120.56 120.56 64.42
Positions (direct):
Dy  0.118  0.882  0.750
Dy  0.882  0.118  0.250
Ni  0.280  0.467  0.300
Ni  0.467  0.280  0.800
Ni  0.533  0.720  0.200
Ni  0.720  0.533  0.700
B  0.154  0.505  0.976
B  0.495  0.846  0.524
B  0.505  0.154  0.476
B  0.846  0.495  0.024


Entry 18:
## DyNi12B6 (PBE)

Data for an optimized crystal structure of DyNi12B6.

Calculated values
**Total energy**: -6.40 eV per atom
**Total magnetization**: 0.000 μB/cell
**ΔE_f**: -0.393 eV per atom

abc: 6.011 6.011 6.011
angles: 104.47 104.47 104.47
Positions (direct):
Dy  0.000  0.000  0.000
Ni  0.130  0.500  0.870
Ni  0.130  0.870  0.500
Ni  0.186  0.453  0.453
Ni  0.453  0.186  0.453
Ni  0.453  0.453  0.186
Ni  0.500  0.130  0.870
Ni  0.500  0.870  0.130
Ni  0.547  0.547  0.814
Ni  0.547  0.814  0.547
Ni  0.814  0.547  0.547
Ni  0.870  0.130  0.500
Ni  0.870  0.500  0.130
B  0.236  0.236  0.671
B  0.236  0.671  0.236
B  0.329  0.764  0.764
B  0.671  0.236  0.236
B  0.764  0.329  0.764
B  0.764  0.764  0.329


Entry 19:
## DyNiB4 (PBE)

Data for an optimized crystal structure of DyNiB4.

Calculated values
**Total energy**: -6.72 eV per atom
**Total magnetization**: 0.000 μB/cell
**ΔE_f**: -0.537 eV per atom

abc: 5.908 5.908 3.422
angles: 90.00 90.00 103.95
Positions (direct):
Dy  0.200  0.800  0.000
Dy  0.800  0.200  0.000
Ni  0.323  0.323  0.000
Ni  0.677  0.677  0.000
B  0.121  0.432  0.500
B  0.127  0.127  0.500
B  0.408  0.592  0.500
B  0.432  0.121  0.500
B  0.568  0.879  0.500
B  0.592  0.408  0.500
B  0.873  0.873  0.500
B  0.879  0.568  0.500